A plane-wave DFT calculation with PBE-GGA was carried out for a relaxed structure of La3ZnN.

The structure belongs to space group P4mm (No. 99); the cell edges are 4.780, 4.780 and 8.050 Å and the angles 90.00°, 90.00° and 90.00°. The inequivalent atoms are La at (0.000, 0.000, 0.000), La at (0.000, 0.500, 0.625), Zn at (0.000, 0.000, 0.364) and N at (0.500, 0.500, 0.691).

The uncorrected formation energy comes out at 124 meV per atom.

***

A plane-wave DFT calculation with PBE-GGA was carried out for a relaxed structure of PuSn2Rh.

The structure belongs to space group P4/mmm (No. 123); the cell edges are 4.372, 4.372 and 4.587 Å and the angles 90.00°, 90.00° and 90.00°. The inequivalent atoms are Pu at (0.000, 0.000, 0.000), Sn at (0.000, 0.500, 0.500) and Rh at (0.500, 0.500, 0.000).

The formation energy is -0.28 eV/atom.

***

A plane-wave DFT calculation with PBE-GGA was carried out for a relaxed structure of AlV2PdRh.

The structure belongs to space group P4/mmm (No. 123); the cell edges are 4.477, 4.477 and 4.977 Å and the angles 90.00°, 90.00° and 90.00°. The inequivalent atoms are Al at (0.000, 0.000, 0.000), V at (0.000, 0.500, 0.500), Pd at (0.500, 0.500, 0.000) and Rh at (0.500, 0.500, 0.500).

The formation energy is 0.87 eV/atom.

***

A plane-wave DFT calculation with PBE-GGA was carried out for a relaxed structure of KRe2Ru.

The structure belongs to space group R3m (No. 160, hexagonal axes); the cell edges are 2.8077, 2.8077 and 30.8486 Å and the angles 90.00°, 90.00° and 120.00°. The inequivalent atoms are K at (0.0000, 0.0000, 0.0000), Re at (0.0000, 0.0000, 0.5022), Re at (0.0000, 0.0000, 0.7657) and Ru at (0.0000, 0.0000, 0.2380).

The formation energy is 0.70 eV/atom.

***

A plane-wave DFT calculation with PBE-GGA was carried out for a relaxed structure of Re2OsAu.

The structure belongs to space group I-4m2 (No. 119); the cell edges are 3.947, 3.947 and 7.839 Å and the angles 90.00°, 90.00° and 90.00°. The inequivalent atoms are Re at (0.000, 0.000, 0.000), Re at (0.000, 0.500, 0.250), Os at (0.000, 0.000, 0.500) and Au at (0.000, 0.500, 0.750).

The formation energy is 0.44 eV/atom.

***

A plane-wave DFT calculation with PBE-GGA was carried out for a relaxed structure of Sm8Ho3Tm2.

The structure belongs to space group P-1 (No. 2); the cell edges are 5.683, 7.701 and 10.763 Å and the angles 110.92°, 90.02° and 90.00°. The inequivalent atoms are Sm at (0.000, 0.100, 0.286), Sm at (0.000, 0.314, 0.714), Sm at (0.499, 0.828, 0.156), Sm at (0.500, 0.368, 0.236), Ho at (0.000, 0.500, 0.500), Ho at (0.500, 0.214, 0.500) and Tm at (0.001, 0.260, 0.020).

The formation energy is 0.21 eV/atom.

***

A plane-wave DFT calculation with PBE-GGA was carried out for a relaxed structure of Pm4V.

The structure belongs to space group Pm-3m (No. 221); the cell edges are 5.477, 5.477 and 5.477 Å and the angles 90.00°, 90.00° and 90.00°. The inequivalent atoms are Pm at (0.000, 0.000, 0.000), Pm at (0.000, 0.500, 0.500) and V at (0.500, 0.500, 0.500).

The formation energy is 0.45 eV/atom.

***

A plane-wave DFT calculation with PBE-GGA was carried out for a relaxed structure of Tm2NbCo2.

The structure belongs to space group Immm (No. 71); the cell edges are 3.897, 5.430 and 8.879 Å and the angles 90.00°, 90.00° and 90.00°. The inequivalent atoms are Tm at (0.000, 0.000, 0.204), Nb at (0.000, 0.500, 0.000) and Co at (0.000, 0.282, 0.500).

The formation energy is -0.24 eV/atom.

***

A plane-wave DFT calculation with PBE-GGA was carried out for a relaxed structure of LiIrPt.

The structure belongs to space group Fmm2 (No. 42); the cell edges are 2.703, 4.622 and 14.099 Å and the angles 90.00°, 90.00° and 90.00°. The inequivalent atoms are Li at (0.000, 0.000, 0.000), Ir at (0.000, 0.000, 0.659) and Pt at (0.000, 0.000, 0.343).

The formation energy is -0.05 eV/atom.

***

A plane-wave DFT calculation with PBE-GGA was carried out for a relaxed structure of Zn2Ag2TeO6.

The structure belongs to space group C2/m (No. 12); the cell edges are 5.434, 9.336 and 6.389 Å and the angles 90.00°, 96.56° and 90.00°. The inequivalent atoms are Zn at (0.000, 0.163, 0.000), Ag at (0.000, 0.338, 0.500), Te at (0.000, 0.500, 0.000), O at (0.124, 0.343, 0.830) and O at (0.174, 0.000, 0.841).

The uncorrected formation energy comes out at -912 meV per atom.

***

A plane-wave DFT calculation with PBE-GGA was carried out for a relaxed structure of Dy3Sc4Tl2.

The structure belongs to space group C2/m (No. 12); the cell edges are 14.382, 4.697 and 7.418 Å and the angles 90.00°, 108.53° and 90.00°. The inequivalent atoms are Dy at (0.000, 0.000, 0.000), Dy at (0.114, 0.000, 0.668), Sc at (0.061, 0.500, 0.336), Sc at (0.220, 0.000, 0.328) and Tl at (0.159, 0.500, 0.004).

The formation energy is -0.10 eV/atom.

***

A plane-wave DFT calculation with PBE-GGA was carried out for a relaxed structure of SrCaH2.

The structure belongs to space group I-42d (No. 122); the cell edges are 5.598, 5.598 and 11.248 Å and the angles 90.00°, 90.00° and 90.00°. The inequivalent atoms are Sr at (0.000, 0.000, 0.000), Ca at (0.000, 0.000, 0.500) and H at (0.226, 0.250, 0.625).

The value obtained for the total energy is -2.85 eV per atom.

***

A plane-wave DFT calculation with PBE-GGA was carried out for a relaxed structure of KHg2As.

The structure belongs to space group P4/mmm (No. 123); the cell edges are 3.966, 3.966 and 7.042 Å and the angles 90.00°, 90.00° and 90.00°. The inequivalent atoms are K at (0.000, 0.000, 0.000), Hg at (0.500, 0.500, 0.287) and As at (0.000, 0.000, 0.500).

The formation energy is 0.02 eV/atom.

***

A plane-wave DFT calculation with PBE-GGA was carried out for a relaxed structure of Ca2Br.

The structure belongs to space group R-3m (No. 166, hexagonal axes); the cell edges are 3.9483, 3.9483 and 22.6180 Å and the angles 90.00°, 90.00° and 120.00°. The inequivalent atoms are Ca at (0.0000, 0.0000, 0.2329) and Br at (0.0000, 0.0000, 0.0000).

The uncorrected formation energy comes out at -880 meV per atom.

***

A plane-wave DFT calculation with PBE-GGA was carried out for a relaxed structure of TaVMoW2.

The structure belongs to space group P2_1/m (No. 11); the cell edges are 6.237, 4.460 and 6.652 Å and the angles 90.00°, 101.29° and 90.00°. The inequivalent atoms are Ta at (0.201, 0.250, 0.344), V at (0.055, 0.250, 0.693), Mo at (0.455, 0.750, 0.340), W at (0.128, 0.750, 0.004) and W at (0.380, 0.250, 0.997).

The formation energy is 0.66 eV/atom.

***

A plane-wave DFT calculation with PBE-GGA was carried out for a relaxed structure of Er2ScPaSb4.

The structure belongs to space group P2/m (No. 10); the cell edges are 7.449, 4.318 and 7.487 Å and the angles 90.00°, 109.41° and 90.00°. The inequivalent atoms are Er at (0.000, 0.000, 0.000), Er at (0.500, 0.500, 0.000), Sc at (0.000, 0.500, 0.500), Pa at (0.500, 0.000, 0.500), Sb at (0.241, 0.000, 0.742) and Sb at (0.243, 0.500, 0.251).

The uncorrected formation energy comes out at -879 meV per atom.

***

A plane-wave DFT calculation with PBE-GGA was carried out for a relaxed structure of SrCrRu2S.

The structure belongs to space group P4/mmm (No. 123); the cell edges are 4.514, 4.514 and 4.512 Å and the angles 90.00°, 90.00° and 90.00°. The inequivalent atoms are Sr at (0.000, 0.000, 0.000), Cr at (0.500, 0.500, 0.000), Ru at (0.000, 0.500, 0.500) and S at (0.500, 0.500, 0.500).

The uncorrected formation energy comes out at 201 meV per atom.

***

A plane-wave DFT calculation with PBE-GGA was carried out for a relaxed structure of FePbSe2N.

The structure belongs to space group P4/mmm (No. 123); the cell edges are 5.161, 5.161 and 3.484 Å and the angles 90.00°, 90.00° and 90.00°. The inequivalent atoms are Fe at (0.000, 0.000, 0.000), Pb at (0.500, 0.500, 0.500), Se at (0.000, 0.500, 0.000) and N at (0.000, 0.000, 0.500).

The uncorrected formation energy comes out at 106 meV per atom.

***

A plane-wave DFT calculation with PBE-GGA was carried out for a relaxed structure of K2YHfSe4.

The structure belongs to space group P2/m (No. 10); the cell edges are 7.038, 4.032 and 8.059 Å and the angles 90.00°, 106.68° and 90.00°. The inequivalent atoms are K at (0.000, 0.000, 0.000), K at (0.500, 0.500, 0.000), Y at (0.000, 0.500, 0.500), Hf at (0.500, 0.000, 0.500), Se at (0.250, 0.000, 0.706) and Se at (0.280, 0.500, 0.300).

The uncorrected formation energy comes out at -1501 meV per atom.

***

A plane-wave DFT calculation with PBE-GGA was carried out for a relaxed structure of LaZrTa4.

The structure belongs to space group F-43m (No. 216); the cell edges are 8.032, 8.032 and 8.032 Å and the angles 90.00°, 90.00° and 90.00°. The inequivalent atoms are La at (0.000, 0.000, 0.000), Zr at (0.250, 0.250, 0.250) and Ta at (0.125, 0.125, 0.625).

The formation energy is 0.23 eV/atom.

***

A plane-wave DFT calculation with PBE-GGA was carried out for a relaxed structure of HSe2IBr.

The structure belongs to space group P4/mmm (No. 123); the cell edges are 5.435, 5.435 and 5.860 Å and the angles 90.00°, 90.00° and 90.00°. The inequivalent atoms are H at (0.000, 0.000, 0.000), Se at (0.000, 0.500, 0.500), I at (0.500, 0.500, 0.500) and Br at (0.500, 0.500, 0.000).

The value obtained for the total energy is -1.70 eV per atom.

***

A plane-wave DFT calculation with PBE-GGA was carried out for a relaxed structure of NaAg3Hg3.

The structure belongs to space group Pm-3n (No. 223); the cell edges are 7.805, 7.805 and 7.805 Å and the angles 90.00°, 90.00° and 90.00°. The inequivalent atoms are Na at (0.000, 0.000, 0.000), Ag at (0.000, 0.250, 0.500) and Hg at (0.000, 0.500, 0.250).

The formation energy is 0.29 eV/atom.

***

A plane-wave DFT calculation with PBE-GGA was carried out for a relaxed structure of Y2Nb2Os.

The structure belongs to space group P4/mbm (No. 127); the cell edges are 6.668, 6.668 and 5.116 Å and the angles 90.00°, 90.00° and 90.00°. The inequivalent atoms are Y at (0.172, 0.328, 0.000), Nb at (0.144, 0.644, 0.500) and Os at (0.000, 0.000, 0.500).

The formation energy is 0.08 eV/atom.

***

A plane-wave DFT calculation with PBE-GGA was carried out for a relaxed structure of NdHoPtPb.

The structure belongs to space group F-43m (No. 216); the cell edges are 7.442, 7.442 and 7.442 Å and the angles 90.00°, 90.00° and 90.00°. The inequivalent atoms are Nd at (0.000, 0.000, 0.000), Ho at (0.000, 0.000, 0.500), Pt at (0.250, 0.250, 0.750) and Pb at (0.250, 0.250, 0.250).

The formation energy is -0.70 eV/atom.

***

A plane-wave DFT calculation with PBE-GGA was carried out for a relaxed structure of ZnCu2SiS4.

The structure belongs to space group Pc (No. 7); the cell edges are 6.159, 6.425 and 9.650 Å and the angles 90.00°, 129.65° and 90.00°. The inequivalent atoms are Zn at (0.000, 0.175, 0.000), Cu at (0.254, 0.348, 0.754), Cu at (0.500, 0.172, 0.504), Si at (0.757, 0.326, 0.253), S at (0.117, 0.174, 0.494), S at (0.411, 0.325, 0.257), S at (0.628, 0.170, 0.012) and S at (0.874, 0.359, 0.748).

The uncorrected formation energy comes out at -554 meV per atom.

***

A plane-wave DFT calculation with PBE-GGA was carried out for a relaxed structure of Hf4Ge2Mo.

The structure belongs to space group R-3m (No. 166, hexagonal axes); the cell edges are 4.6628, 4.6628 and 23.2314 Å and the angles 90.00°, 90.00° and 120.00°. The inequivalent atoms are Hf at (0.0000, 0.0000, 0.1267), Hf at (0.0000, 0.0000, 0.2745), Ge at (0.0000, 0.0000, 0.3904) and Mo at (0.0000, 0.0000, 0.5000).

The formation energy is -0.17 eV/atom.